# 1
YGa6Ni2: optimized geometry, PBE-GGA. Values from VASP.

Output
Energy: -4.0355 eV/atom
Space-group type: Fd-3m (227)

The structure in Quantum ESPRESSO input format:
```
&SYSTEM
  ibrav = 0, nat = 18, ntyp = 3
/
ATOMIC_SPECIES
Y 88.91 Y.upf
Ga 69.72 Ga.upf
Ni 58.69 Ni.upf
CELL_PARAMETERS angstrom
8.0823 0.0000 0.0000
4.0411 6.9995 0.0000
4.0411 2.3332 6.5992
ATOMIC_POSITIONS crystal
Y 0.5000 0.5000 0.5000
Y 0.7500 0.7500 0.7500
Ga 0.2333 0.2333 0.7667
Ga 0.7667 0.7667 0.2333
Ga 0.2333 0.7667 0.2333
Ga 0.2333 0.7667 0.7667
Ga 0.4833 0.4833 0.0167
Ga 0.4833 0.0167 0.0167
Ga 0.7667 0.2333 0.7667
Ga 0.0167 0.0167 0.4833
Ga 0.4833 0.0167 0.4833
Ga 0.0167 0.4833 0.4833
Ga 0.7667 0.2333 0.2333
Ga 0.0167 0.4833 0.0167
Ni 0.1250 0.1250 0.1250
Ni 0.1250 0.6250 0.1250
Ni 0.1250 0.1250 0.6250
Ni 0.6250 0.1250 0.1250
```

***

# 2
Y2GaNi6: optimized geometry, PBE-GGA. Values from VASP.

Output
Energy: -6.0427 eV/atom
Space-group type: C2/m (12)

The structure in Quantum ESPRESSO input format:
```
&SYSTEM
  ibrav = 0, nat = 9, ntyp = 3
/
ATOMIC_SPECIES
Y 88.91 Y.upf
Ga 69.72 Ga.upf
Ni 58.69 Ni.upf
CELL_PARAMETERS angstrom
5.2813 0.0000 0.0000
-2.6407 4.3899 1.0115
0.0000 0.0669 5.7902
ATOMIC_POSITIONS crystal
Y 0.6437 0.2874 0.1605
Y 0.3563 0.7126 0.8395
Ga 0.0000 0.0000 0.0000
Ni 0.8729 0.2741 0.6666
Ni 0.8821 0.7642 0.6691
Ni 0.4012 0.2741 0.6666
Ni 0.1271 0.7259 0.3334
Ni 0.1179 0.2358 0.3309
Ni 0.5988 0.7259 0.3334
```

***

# 3
YGaNi3: optimized geometry, PBE-GGA. Values from VASP.

Output
Energy: -5.3638 eV/atom
Space-group type: Pm-3m (221)

The structure in Quantum ESPRESSO input format:
```
&SYSTEM
  ibrav = 0, nat = 5, ntyp = 3
/
ATOMIC_SPECIES
Y 88.91 Y.upf
Ni 58.69 Ni.upf
Ga 69.72 Ga.upf
CELL_PARAMETERS angstrom
-1.7208 -1.5542 -3.7504
0.7382 -4.1253 1.3708
-3.9920 -0.0929 1.8701
ATOMIC_POSITIONS crystal
Y 0.5000 0.5000 0.5000
Ni 0.0000 0.5000 0.0000
Ni 0.0000 0.0000 0.5000
Ni 0.5000 0.0000 0.0000
Ga 0.0000 0.0000 0.0000
```

***

# 4
YGa3Ni: optimized geometry, PBE-GGA. Values from VASP.

Output
Energy: -3.0379 eV/atom
Space-group type: Pm-3m (221)

The structure in Quantum ESPRESSO input format:
```
&SYSTEM
  ibrav = 0, nat = 5, ntyp = 3
/
ATOMIC_SPECIES
Y 88.91 Y.upf
Ni 58.69 Ni.upf
Ga 69.72 Ga.upf
CELL_PARAMETERS angstrom
5.4138 0.0000 0.0000
0.0000 5.4138 0.0000
0.0000 0.0000 5.4138
ATOMIC_POSITIONS crystal
Y 0.0000 0.0000 0.0000
Ni 0.5000 0.5000 0.5000
Ga 0.0000 0.5000 0.0000
Ga 0.0000 0.0000 0.5000
Ga 0.5000 0.0000 0.0000
```

***

# 5
Y2GaNi3: optimized geometry, PBE-GGA. Values from VASP.

Output
Energy: -6.0161 eV/atom
Space-group type: Fmmm (69)

The structure in Quantum ESPRESSO input format:
```
&SYSTEM
  ibrav = 0, nat = 12, ntyp = 3
/
ATOMIC_SPECIES
Y 88.91 Y.upf
Ga 69.72 Ga.upf
Ni 58.69 Ni.upf
CELL_PARAMETERS angstrom
5.5491 -0.2120 0.0000
-0.4274 5.5367 0.0000
-2.5609 -2.6623 7.1141
ATOMIC_POSITIONS crystal
Y 0.2500 0.7500 0.5000
Y 0.7554 0.7554 0.0000
Y 0.7500 0.2500 0.5000
Y 0.2446 0.2446 0.0000
Ga 0.6664 0.6664 0.3329
Ga 0.3336 0.3336 0.6671
Ni 0.3328 0.8336 0.1665
Ni 0.1664 0.6672 0.8335
Ni 0.6672 0.1664 0.8335
Ni 0.8336 0.3328 0.1665
Ni 0.1655 0.1655 0.3310
Ni 0.8345 0.8345 0.6690
```

***

# 6
Y2Ga4Ni5: optimized geometry, PBE-GGA. Values from VASP.

Output
Energy: -5.4122 eV/atom
Space-group type: Fmmm (69)

The structure in Quantum ESPRESSO input format:
```
&SYSTEM
  ibrav = 0, nat = 11, ntyp = 3
/
ATOMIC_SPECIES
Y 88.91 Y.upf
Ga 69.72 Ga.upf
Ni 58.69 Ni.upf
CELL_PARAMETERS angstrom
-1.1807 -1.6243 4.9172
1.3304 -4.8268 1.5936
5.8839 1.7668 4.8650
ATOMIC_POSITIONS crystal
Y 0.8688 0.0000 0.2624
Y 0.1312 0.0000 0.7376
Ga 0.4696 0.3184 0.7425
Ga 0.5304 0.6816 0.2575
Ga 0.2120 0.3184 0.2575
Ga 0.7880 0.6816 0.7425
Ni 0.5000 0.0000 0.0000
Ni 0.0000 0.5000 0.0000
Ni 0.5000 0.5000 0.0000
Ni 0.2500 0.5000 0.5000
Ni 0.7500 0.5000 0.5000
```

***

# 7
YGa12Ni6: optimized geometry, PBE-GGA. Values from VASP.

Output
Energy: -4.3949 eV/atom
Space-group type: R-3m (166)

The structure in Quantum ESPRESSO input format:
```
&SYSTEM
  ibrav = 0, nat = 19, ntyp = 3
/
ATOMIC_SPECIES
Y 88.91 Y.upf
Ga 69.72 Ga.upf
Ni 58.69 Ni.upf
CELL_PARAMETERS angstrom
-1.4295 -5.3392 -4.1703
6.0010 -1.7226 2.9939
-4.6636 -0.5066 5.0928
ATOMIC_POSITIONS crystal
Y 0.0000 0.0000 0.0000
Ga 0.8855 0.1145 0.5000
Ga 0.8510 0.5956 0.5956
Ga 0.5956 0.5956 0.8510
Ga 0.4044 0.1490 0.4044
Ga 0.4044 0.4044 0.1490
Ga 0.1490 0.4044 0.4044
Ga 0.1145 0.5000 0.8855
Ga 0.5000 0.8855 0.1145
Ga 0.1145 0.8855 0.5000
Ga 0.8855 0.5000 0.1145
Ga 0.5000 0.1145 0.8855
Ga 0.5956 0.8510 0.5956
Ni 0.7099 0.2841 0.2841
Ni 0.2841 0.2841 0.7099
Ni 0.2841 0.7099 0.2841
Ni 0.7159 0.7159 0.2901
Ni 0.2901 0.7159 0.7159
Ni 0.7159 0.2901 0.7159
```

***

# 8
YGaNi3: optimized geometry, PBE-GGA. Values from VASP.

Output
Energy: -5.7052 eV/atom
Space-group type: Imma (74)

The structure in Quantum ESPRESSO input format:
```
&SYSTEM
  ibrav = 0, nat = 10, ntyp = 3
/
ATOMIC_SPECIES
Y 88.91 Y.upf
Ga 69.72 Ga.upf
Ni 58.69 Ni.upf
CELL_PARAMETERS angstrom
4.6129 0.0000 1.8427
1.5792 5.3332 2.7419
0.2023 -0.3367 6.1888
ATOMIC_POSITIONS crystal
Y 0.5000 0.5000 0.5000
Y 0.5000 0.0000 0.0000
Ga 0.9700 0.7800 0.2800
Ga 0.0300 0.2200 0.7200
Ni 0.1908 0.7452 0.8731
Ni 0.1908 0.3731 0.2452
Ni 0.8092 0.6269 0.7548
Ni 0.8092 0.2548 0.1269
Ni 0.5000 0.0000 0.5000
Ni 0.0000 0.0000 0.5000
```

***

# 9
YGa4Ni: optimized geometry, PBE-GGA. Values from VASP.

Output
Energy: -4.4391 eV/atom
Space-group type: Cmcm (63)

The structure in Quantum ESPRESSO input format:
```
&SYSTEM
  ibrav = 0, nat = 12, ntyp = 3
/
ATOMIC_SPECIES
Y 88.91 Y.upf
Ga 69.72 Ga.upf
Ni 58.69 Ni.upf
CELL_PARAMETERS angstrom
4.2525 0.0000 0.0000
0.0000 5.4520 0.0000
-2.1263 0.0000 9.6208
ATOMIC_POSITIONS crystal
Y 0.3782 0.7500 0.7564
Y 0.6218 0.2500 0.2436
Ga 0.2118 0.5044 0.4237
Ga 0.7882 0.4956 0.5763
Ga 0.2118 0.9956 0.4237
Ga 0.7882 0.0044 0.5763
Ga 0.5548 0.7500 0.1097
Ga 0.4452 0.2500 0.8903
Ga 0.0000 0.5000 0.0000
Ga 0.0000 0.0000 0.0000
Ni 0.1070 0.7500 0.2140
Ni 0.8930 0.2500 0.7860
```

***

# 10
Y12GaNi6: optimized geometry, PBE-GGA. Values from VASP.

Output
Energy: -6.4182 eV/atom
Space-group type: Im-3 (204)

The structure in Quantum ESPRESSO input format:
```
&SYSTEM
  ibrav = 0, nat = 19, ntyp = 3
/
ATOMIC_SPECIES
Y 88.91 Y.upf
Ga 69.72 Ga.upf
Ni 58.69 Ni.upf
CELL_PARAMETERS angstrom
-6.7801 1.3882 -4.7567
4.3492 -6.4600 -3.1427
-2.4033 -1.7949 7.8438
ATOMIC_POSITIONS crystal
Y 0.3005 0.1137 0.8132
Y 0.3005 0.4873 0.1868
Y 0.6995 0.5127 0.8132
Y 0.6995 0.8863 0.1868
Y 0.1137 0.8132 0.3005
Y 0.4873 0.1868 0.3005
Y 0.5127 0.8132 0.6995
Y 0.8863 0.1868 0.6995
Y 0.8132 0.3005 0.1137
Y 0.1868 0.3005 0.4873
Y 0.8132 0.6995 0.5127
Y 0.1868 0.6995 0.8863
Ga 0.0000 0.0000 0.0000
Ni 0.3769 0.5000 0.8769
Ni 0.6231 0.5000 0.1231
Ni 0.5000 0.8769 0.3769
Ni 0.5000 0.1231 0.6231
Ni 0.8769 0.3769 0.5000
Ni 0.1231 0.6231 0.5000
```

***

# 11
Y2Ga2Ni: optimized geometry, PBE-GGA. Values from VASP.

Output
Energy: -5.5878 eV/atom
Space-group type: C2/m (12)

The structure in Quantum ESPRESSO input format:
```
&SYSTEM
  ibrav = 0, nat = 10, ntyp = 3
/
ATOMIC_SPECIES
Y 88.91 Y.upf
Ga 69.72 Ga.upf
Ni 58.69 Ni.upf
CELL_PARAMETERS angstrom
-1.0629 -4.0467 -0.6168
4.5421 -3.4358 0.2155
-2.2317 -2.9589 8.7593
ATOMIC_POSITIONS crystal
Y 0.6745 0.3180 0.3331
Y 0.9265 0.2633 0.8838
Y 0.3255 0.6820 0.6669
Y 0.0735 0.7367 0.1162
Ga 0.0976 0.2457 0.5591
Ga 0.6364 0.8456 0.8817
Ga 0.9024 0.7543 0.4409
Ga 0.3636 0.1544 0.1183
Ni 0.6211 0.1025 0.6553
Ni 0.3789 0.8975 0.3447
```

***

# 12
YGa2Ni3: optimized geometry, PBE-GGA. Values from VASP.

Output
Energy: -5.5275 eV/atom
Space-group type: P6/mmm (191)

The structure in Quantum ESPRESSO input format:
```
&SYSTEM
  ibrav = 0, nat = 6, ntyp = 3
/
ATOMIC_SPECIES
Y 88.91 Y.upf
Ni 58.69 Ni.upf
Ga 69.72 Ga.upf
CELL_PARAMETERS angstrom
3.8333 0.0000 0.0000
0.0000 5.2238 0.0000
0.0000 -2.6119 4.5239
ATOMIC_POSITIONS crystal
Y 0.0000 0.0000 0.0000
Ni 0.5000 0.5000 0.5000
Ni 0.5000 0.5000 0.0000
Ni 0.5000 0.0000 0.5000
Ga 0.0000 0.6667 0.3333
Ga 0.0000 0.3333 0.6667
```

***

# 13
YGaNi3: optimized geometry, PBE-GGA. Values from VASP.

Output
Energy: -5.3935 eV/atom
Space-group type: Cmmm (65)

The structure in Quantum ESPRESSO input format:
```
&SYSTEM
  ibrav = 0, nat = 10, ntyp = 3
/
ATOMIC_SPECIES
Y 88.91 Y.upf
Ga 69.72 Ga.upf
Ni 58.69 Ni.upf
CELL_PARAMETERS angstrom
4.4287 0.0000 0.0000
0.0000 5.4477 0.0000
0.0000 0.0000 7.1101
ATOMIC_POSITIONS crystal
Y 0.5000 0.0000 0.0000
Y 0.5000 0.5000 0.5000
Ga 0.0000 0.5000 0.0000
Ga 0.0000 0.0000 0.5000
Ni 0.5000 0.5000 0.0000
Ni 0.5000 0.0000 0.5000
Ni 0.0000 0.7497 0.2501
Ni 0.0000 0.2497 0.2499
Ni 0.0000 0.2503 0.7499
Ni 0.0000 0.7503 0.7501
```

***

# 14
Y2Ga5Ni4: optimized geometry, PBE-GGA. Values from VASP.

Output
Energy: -5.1920 eV/atom
Space-group type: Fmmm (69)

The structure in Quantum ESPRESSO input format:
```
&SYSTEM
  ibrav = 0, nat = 11, ntyp = 3
/
ATOMIC_SPECIES
Y 88.91 Y.upf
Ga 69.72 Ga.upf
Ni 58.69 Ni.upf
CELL_PARAMETERS angstrom
5.2636 0.0000 0.0000
2.6318 4.4821 0.0000
2.6318 0.0000 7.6622
ATOMIC_POSITIONS crystal
Y 0.8683 0.0000 0.2634
Y 0.1317 0.0000 0.7366
Ga 0.5000 0.0000 0.0000
Ga 0.0000 0.5000 0.0000
Ga 0.5000 0.5000 0.0000
Ga 0.2500 0.5000 0.5000
Ga 0.7500 0.5000 0.5000
Ni 0.4739 0.3130 0.7393
Ni 0.5261 0.6870 0.2607
Ni 0.2132 0.3130 0.2607
Ni 0.7868 0.6870 0.7393
```

***

# 15
Y3Ga2Ni: optimized geometry, PBE-GGA. Values from VASP.

Output
Energy: -5.7739 eV/atom
Space-group type: Pnma (62)

The structure in Quantum ESPRESSO input format:
```
&SYSTEM
  ibrav = 0, nat = 24, ntyp = 3
/
ATOMIC_SPECIES
Y 88.91 Y.upf
Ga 69.72 Ga.upf
Ni 58.69 Ni.upf
CELL_PARAMETERS angstrom
-1.6181 3.9599 -0.0882
-7.5160 -3.2383 -7.5037
-7.3549 -2.8143 8.5815
ATOMIC_POSITIONS crystal
Y 0.2500 0.3696 0.0507
Y 0.7500 0.6304 0.9493
Y 0.7500 0.8696 0.4493
Y 0.2500 0.1304 0.5507
Y 0.2500 0.6946 0.2233
Y 0.7500 0.3054 0.7767
Y 0.7500 0.1946 0.2767
Y 0.2500 0.8054 0.7233
Y 0.2500 0.4373 0.3818
Y 0.7500 0.5627 0.6182
Y 0.7500 0.9373 0.1182
Y 0.2500 0.0627 0.8818
Ga 0.2500 0.6873 0.4805
Ga 0.7500 0.3127 0.5195
Ga 0.7500 0.1873 0.0195
Ga 0.2500 0.8127 0.9805
Ga 0.2500 0.9946 0.3068
Ga 0.7500 0.0054 0.6932
Ga 0.7500 0.4946 0.1932
Ga 0.2500 0.5054 0.8068
Ni 0.2500 0.1208 0.1245
Ni 0.7500 0.8792 0.8755
Ni 0.7500 0.6208 0.3755
Ni 0.2500 0.3792 0.6245
```

***

# 16
Y4Ga21Ni10: optimized geometry, PBE-GGA. Values from VASP.

Output
Energy: -4.7170 eV/atom
Space-group type: C2/m (12)

The structure in Quantum ESPRESSO input format:
```
&SYSTEM
  ibrav = 0, nat = 35, ntyp = 3
/
ATOMIC_SPECIES
Y 88.91 Y.upf
Ni 58.69 Ni.upf
Ga 69.72 Ga.upf
CELL_PARAMETERS angstrom
10.6766 -0.0164 -0.0019
9.8849 4.0349 -0.0019
8.4869 1.6586 12.6398
ATOMIC_POSITIONS crystal
Y 0.8791 0.8791 0.3347
Y 0.1209 0.1209 0.6653
Y 0.2287 0.2287 0.1760
Y 0.7713 0.7713 0.8240
Ni 0.4983 0.4983 0.1834
Ni 0.5017 0.5017 0.8166
Ni 0.8670 0.8670 0.1059
Ni 0.1330 0.1330 0.8941
Ni 0.7508 0.7508 0.6156
Ni 0.2492 0.2492 0.3844
Ni 0.6530 0.6530 0.1097
Ni 0.3470 0.3470 0.8903
Ni 0.9767 0.9767 0.6063
Ni 0.0233 0.0233 0.3937
Ga 0.4597 0.4597 0.3681
Ga 0.5403 0.5403 0.6319
Ga 0.7999 0.7999 0.0025
Ga 0.2001 0.2001 0.9975
Ga 0.7026 0.7026 0.4974
Ga 0.2974 0.2974 0.5026
Ga 0.8828 0.8828 0.5543
Ga 0.1172 0.1172 0.4457
Ga 0.6133 0.6133 0.2961
Ga 0.3867 0.3867 0.7039
Ga 0.7511 0.7511 0.2950
Ga 0.2489 0.2489 0.7050
Ga 0.6012 0.6012 0.9997
Ga 0.3988 0.3988 0.0003
Ga 0.9936 0.9936 0.0916
Ga 0.0064 0.0064 0.9084
Ga 0.9341 0.9341 0.7971
Ga 0.0659 0.0659 0.2029
Ga 0.5000 0.5000 0.5000
Ga 0.3731 0.3731 0.1960
Ga 0.6269 0.6269 0.8040
```

***

# 17
YGa3Ni3: optimized geometry, PBE-GGA. Values from VASP.

Output
Energy: -4.7467 eV/atom
Space-group type: Pm-3n (223)

The structure in Quantum ESPRESSO input format:
```
&SYSTEM
  ibrav = 0, nat = 14, ntyp = 3
/
ATOMIC_SPECIES
Y 88.91 Y.upf
Ni 58.69 Ni.upf
Ga 69.72 Ga.upf
CELL_PARAMETERS angstrom
6.4210 0.0000 0.0000
0.0000 6.4210 0.0000
0.0000 0.0000 6.4210
ATOMIC_POSITIONS crystal
Y 0.5000 0.5000 0.5000
Y 0.0000 0.0000 0.0000
Ni 0.2500 0.0000 0.5000
Ni 0.0000 0.5000 0.2500
Ni 0.5000 0.7500 0.0000
Ni 0.7500 0.0000 0.5000
Ni 0.0000 0.5000 0.7500
Ni 0.5000 0.2500 0.0000
Ga 0.0000 0.2500 0.5000
Ga 0.0000 0.7500 0.5000
Ga 0.5000 0.0000 0.7500
Ga 0.7500 0.5000 0.0000
Ga 0.5000 0.0000 0.2500
Ga 0.2500 0.5000 0.0000
```

***

# 18
YGa4Ni: optimized geometry, PBE-GGA. Values from VASP.

Output
Energy: -4.6023 eV/atom
Space-group type: Cmcm (63)

The structure in Quantum ESPRESSO input format:
```
&SYSTEM
  ibrav = 0, nat = 12, ntyp = 3
/
ATOMIC_SPECIES
Y 88.91 Y.upf
Ni 58.69 Ni.upf
Ga 69.72 Ga.upf
CELL_PARAMETERS angstrom
4.1022 0.0000 0.0000
0.0000 6.6317 0.0000
-2.0511 0.0000 7.6564
ATOMIC_POSITIONS crystal
Y 0.3803 0.7500 0.7606
Y 0.6197 0.2500 0.2394
Ni 0.2756 0.2500 0.5512
Ni 0.7244 0.7500 0.4488
Ga 0.8143 0.0525 0.6285
Ga 0.1857 0.9475 0.3715
Ga 0.1857 0.5525 0.3715
Ga 0.8143 0.4475 0.6285
Ga 0.0000 0.5000 0.0000
Ga 0.0000 0.0000 0.0000
Ga 0.4295 0.2500 0.8590
Ga 0.5705 0.7500 0.1410
```

***

# 19
YGa8Ni2: optimized geometry, PBE-GGA. Values from VASP.

Output
Energy: -3.9046 eV/atom
Space-group type: P4/mmm (123)

The structure in Quantum ESPRESSO input format:
```
&SYSTEM
  ibrav = 0, nat = 11, ntyp = 3
/
ATOMIC_SPECIES
Y 88.91 Y.upf
Ga 69.72 Ga.upf
Ni 58.69 Ni.upf
CELL_PARAMETERS angstrom
-4.2841 1.9651 -3.0774
-3.6510 -2.2402 3.6521
0.0670 6.3693 3.9739
ATOMIC_POSITIONS crystal
Y 0.5000 0.5000 0.5000
Ga 0.7535 0.7535 0.1940
Ga 0.7535 0.2465 0.8060
Ga 0.7535 0.7535 0.8060
Ga 0.7535 0.2465 0.1940
Ga 0.2465 0.7535 0.1940
Ga 0.2465 0.7535 0.8060
Ga 0.2465 0.2465 0.1940
Ga 0.2465 0.2465 0.8060
Ni 0.5000 0.0000 0.0000
Ni 0.0000 0.5000 0.0000
```

***

What did we get for spin magnetization? Answer: 0.0, 0.0, 0.0, 0.0, 0.0, 0.0, 0.0, 0.0, 0.0, 0.0, 0.0, 0.0, 0.0, 0.0, 0.0, 0.0, 0.0, 0.0, 0.0 μB/f.u., in the order shown.
What did we get for energy relative to the elements? Answer: -0.1, -3.7, 0.0, 6.1, -2.8, -5.6, -6.0, -1.7, -2.3, -6.7, -3.2, -3.3, -0.1, -5.9, -3.4, -17.9, -0.3, -3.3, -0.7 eV/f.u., in the order shown.